Entry from Alexandria via LeMat-Bulk: a relaxed ZrBeCu2 crystal (PBE).

POSCAR file:
```
ZrBeCu2
1.0
-7.015 1.785 3.921
-8.002 -0.010 1.933
-6.905 -1.033 4.362
Be Zr Cu
1 1 2
direct
0.750 0.750 0.750 Be
0.250 0.250 0.250 Zr
0.484 0.484 0.484 Cu
0.016 0.016 0.016 Cu
```

Summary:
SG   No. 166

***

Entry from Alexandria via LeMat-Bulk: a relaxed ZrBeCu2 crystal (PBE).

POSCAR file:
```
ZrBeCu2
1.0
3.848 0.000 0.000
0.000 3.848 0.000
1.924 1.924 8.288
Zr Cu Be
2 4 2
direct
0.750 0.250 0.500 Zr
0.000 0.000 0.000 Zr
0.375 0.453 0.750 Cu
0.203 0.625 0.250 Cu
0.875 0.797 0.750 Cu
0.547 0.125 0.250 Cu
0.250 0.750 0.500 Be
0.500 0.500 0.000 Be
```

Summary:
SG   No. 122

***

Entry from Alexandria via LeMat-Bulk: a relaxed Zr5Be4Cu4 crystal (PBE).

POSCAR file:
```
Zr5Be4Cu4
1.0
3.697 0.000 0.940
1.848 7.159 0.470
0.084 0.000 7.408
Cu Be Zr
4 4 5
direct
0.429 0.677 0.466 Cu
0.895 0.534 0.677 Cu
0.571 0.323 0.534 Cu
0.105 0.466 0.323 Cu
0.951 0.784 0.314 Be
0.265 0.686 0.784 Be
0.735 0.314 0.216 Be
0.049 0.216 0.686 Be
0.638 0.659 0.065 Zr
0.000 0.000 0.000 Zr
0.703 0.935 0.659 Zr
0.362 0.341 0.935 Zr
0.297 0.065 0.341 Zr
```

Summary:
SG   No. 87

***

Entry from Alexandria via LeMat-Bulk: a relaxed Zr3Be7Cu2 crystal (PBE).

POSCAR file:
```
Zr3Be7Cu2
1.0
-4.366 1.618 -1.005
-2.989 -2.661 -2.583
-5.105 -3.550 5.174
Zr Cu Be
3 2 7
direct
0.858 0.858 0.425 Zr
0.142 0.142 0.575 Zr
0.000 0.000 0.000 Zr
0.666 0.666 0.002 Cu
0.334 0.334 0.998 Cu
0.583 0.583 0.752 Be
0.417 0.417 0.248 Be
0.082 0.583 0.752 Be
0.417 0.918 0.248 Be
0.500 0.500 0.500 Be
0.583 0.082 0.752 Be
0.918 0.417 0.248 Be
```

Summary:
SG   No. 166

***

| no. | calculated density (g/cm3) | final energy (eV per cell) |
| --- | --- | --- |
| 1 | 6.63 | -19.5 |
| 2 | 6.15 | -38.7 |
| 3 | 6.34 | -75.5 |
| 4 | 5.15 | -61.8 |